[1]
Density functional theory data (PBE) for crystalline LaGe2Rh3 at its relaxed geometry.

total magnetic moment = 0.000 μB per formula unit
energy of formation = -77.36 kJ per mole of atoms
electronic total energy = -246.2 eV for the cell shown

Cell: 16.582 4.096 9.955 Å, 90.00 107.55 90.00°
Space group C2/m (No. 12)
Inequivalent atoms, fractional coordinates:
La1 0.000 0.000 0.000
La2 0.163 0.000 0.704
Ge1 0.035 0.500 0.774
Ge2 0.139 0.500 0.451
Ge3 0.194 0.000 0.125
Rh1 0.000 0.500 0.500
Rh2 0.043 0.000 0.334
Rh3 0.121 0.500 0.199
Rh4 0.177 0.500 0.959
Rh5 0.216 0.000 0.393



[2]
Density functional theory data (PBE) for crystalline TaZn3Pt at its relaxed geometry.

total magnetic moment = 0.000 μB per formula unit
energy of formation = 141.88 kJ per mole of atoms
electronic total energy = -14.4 eV for the cell shown

Cell: 4.910 4.910 4.910 Å, 90.00 90.00 90.00°
Space group Pm-3m (No. 221)
Inequivalent atoms, fractional coordinates:
Ta1 0.000 0.000 0.000
Zn1 0.000 0.000 0.500
Pt1 0.500 0.500 0.500



[3]
Density functional theory data (PBE) for crystalline Al2SbOs at its relaxed geometry.

total magnetic moment = 0.000 μB per formula unit
electronic total energy = -45.0 eV for the cell shown
formation energy (no corrections) = 84.5 meV per atom

Cell: 8.615 3.256 5.129 Å, 90.00 100.90 90.00°
Space group C2/m (No. 12)
Inequivalent atoms, fractional coordinates:
Al1 0.230 0.000 0.191
Sb1 0.000 0.000 0.500
Os1 0.000 0.500 0.000



[4]
Density functional theory data (PBE) for crystalline Na4DyNp3Te8 at its relaxed geometry.

total magnetic moment = 3.922 μB per formula unit
electronic total energy = -177.1 eV for the cell shown
formation energy (no corrections) = -920.4 meV per atom

Cell: 15.599 8.989 9.106 Å, 90.00 124.69 90.00°
Space group C2/m (No. 12)
Inequivalent atoms, fractional coordinates:
Na1 0.000 0.000 0.000
Na2 0.000 0.500 0.000
Na3 0.250 0.250 0.000
Dy1 0.000 0.000 0.500
Np1 0.000 0.500 0.500
Np2 0.250 0.250 0.500
Te1 0.004 0.246 0.265
Te2 0.243 0.000 0.733
Te3 0.246 0.500 0.735



[5]
Density functional theory data (PBE) for crystalline Tb3NdC8 at its relaxed geometry.

total magnetic moment = 0.000 μB per formula unit
energy of formation = 12.57 kJ per mole of atoms
electronic total energy = -363.5 eV for the cell shown

Cell: 9.712 9.748 8.036 Å, 90.00 90.00 90.00°
Space group Fmm2 (No. 42)
Inequivalent atoms, fractional coordinates:
Tb1 0.000 0.000 0.000
Tb2 0.250 0.250 0.248
Nd1 0.000 0.000 0.500
C1 0.000 0.169 0.243
C2 0.000 0.241 0.861
C3 0.169 0.000 0.758
C4 0.240 0.000 0.140



[6]
Density functional theory data (PBE) for crystalline Na2MnCu2Se4 at its relaxed geometry.

total magnetic moment = 3.304 μB per formula unit
electronic total energy = -78.0 eV for the cell shown
formation energy (no corrections) = -564.3 meV per atom

Cell: 14.396 3.815 7.137 Å, 90.00 111.53 90.00°
Space group C2/m (No. 12)
Inequivalent atoms, fractional coordinates:
Na1 0.135 0.000 0.069
Mn1 0.000 0.000 0.500
Cu1 0.185 0.500 0.478
Se1 0.011 0.500 0.260
Se2 0.194 0.000 0.700



[7]
Density functional theory data (PBE) for crystalline MgScAs2Br at its relaxed geometry.

total magnetic moment = 0.000 μB per formula unit
electronic total energy = -18.9 eV for the cell shown
formation energy (no corrections) = 2.1 meV per atom

Cell: 4.944 4.944 5.128 Å, 90.00 90.00 90.00°
Space group P4/mmm (No. 123)
Inequivalent atoms, fractional coordinates:
Mg1 0.000 0.000 0.000
Sc1 0.500 0.500 0.500
As1 0.000 0.500 0.000
Br1 0.000 0.000 0.500



[8]
Density functional theory data (PBE) for crystalline Sr3Pd2Au4 at its relaxed geometry.

total magnetic moment = 0.000 μB per formula unit
energy of formation = -63.14 kJ per mole of atoms
electronic total energy = -68.9 eV for the cell shown

Cell: 4.7183 4.7183 23.7399 Å, 90.00 90.00 120.00°
Space group P-6m2 (No. 187)
Inequivalent atoms, fractional coordinates:
Sr1 0.0000 0.0000 0.0805
Sr2 0.0000 0.0000 0.2506
Sr3 0.0000 0.0000 0.4150
Pd1 0.3333 0.6667 0.0000
Pd2 0.6667 0.3333 0.0000
Pd3 0.6667 0.3333 0.3329
Au1 0.3333 0.6667 0.1650
Au2 0.3333 0.6667 0.3331
Au3 0.3333 0.6667 0.5000
Au4 0.6667 0.3333 0.1674
Au5 0.6667 0.3333 0.5000



[9]
Density functional theory data (PBE) for crystalline NiAgPbCl6 at its relaxed geometry.

total magnetic moment = 0.947 μB per formula unit
electronic total energy = -58.4 eV for the cell shown
formation energy (no corrections) = -644.4 meV per atom

Cell: 6.7271 6.7271 11.3106 Å, 90.00 90.00 120.00°
Space group P-31c (No. 163)
Inequivalent atoms, fractional coordinates:
Ni1 0.3333 0.6667 0.2500
Ag1 0.0000 0.0000 0.0000
Pb1 0.3333 0.6667 0.7500
Cl1 0.0636 0.3747 0.1263



[10]
Density functional theory data (PBE) for crystalline Ti8Si2As at its relaxed geometry.

total magnetic moment = 0.007 μB per formula unit
electronic total energy = -167.3 eV for the cell shown
formation energy (no corrections) = -454.5 meV per atom

Cell: 15.761 3.678 6.536 Å, 90.00 107.00 90.00°
Space group C2/m (No. 12)
Inequivalent atoms, fractional coordinates:
Ti1 0.034 0.000 0.262
Ti2 0.093 0.500 0.972
Ti3 0.171 0.500 0.462
Ti4 0.197 0.000 0.809
Si1 0.191 0.000 0.203
As1 0.000 0.500 0.500



[11]
Density functional theory data (PBE) for crystalline Li2NpPaO8 at its relaxed geometry.

total magnetic moment = 0.000 μB per formula unit
electronic total energy = -94.1 eV for the cell shown
formation energy (no corrections) = -2347.2 meV per atom

Cell: 4.697 7.014 4.707 Å, 90.00 90.66 90.00°
Space group P2/m (No. 10)
Inequivalent atoms, fractional coordinates:
Li1 0.000 0.248 0.000
Np1 0.500 0.000 0.500
Pa1 0.500 0.500 0.500
O1 0.204 0.500 0.206
O2 0.217 0.000 0.220
O3 0.309 0.236 0.692



[12]
Density functional theory data (PBE) for crystalline Zn4Au at its relaxed geometry.

total magnetic moment = 0.000 μB per formula unit
energy of formation = 18.17 kJ per mole of atoms
electronic total energy = -14.9 eV for the cell shown

Cell: 4.960 4.960 7.494 Å, 90.00 90.00 90.00°
Space group I4/mmm (No. 139)
Inequivalent atoms, fractional coordinates:
Zn1 0.000 0.000 0.157
Zn2 0.000 0.500 0.250
Au1 0.000 0.000 0.500



> What is the total magnetic moment in the first record?

0.000 μB per formula unit



Repeat the fifth record exactly.
Density functional theory data (PBE) for crystalline Tb3NdC8 at its relaxed geometry.

total magnetic moment = 0.000 μB per formula unit
energy of formation = 12.57 kJ per mole of atoms
electronic total energy = -363.5 eV for the cell shown

Cell: 9.712 9.748 8.036 Å, 90.00 90.00 90.00°
Space group Fmm2 (No. 42)
Inequivalent atoms, fractional coordinates:
Tb1 0.000 0.000 0.000
Tb2 0.250 0.250 0.248
Nd1 0.000 0.000 0.500
C1 0.000 0.169 0.243
C2 0.000 0.241 0.861
C3 0.169 0.000 0.758
C4 0.240 0.000 0.140